No. 1
The following is a DFT calculation (GGA-PBE) of a relaxed structure of AcLa4Nd2.

calculated density	6.622	g cm⁻³
total magnetization	0.00	μB per formula unit
N(E_F)	12.0	states/eV/f.u.
energy of formation from the pure elements	8.7	kJ per mole of atoms
energy above the lowest structure with this stoichiometry	0.000	eV/atom

Unit cell a=3.7076 b=6.0313 c=24.0211 alpha=90.00 beta=90.00 gamma=90.00
Sites, in units of the cell vectors:
Ac 0.0000 0.0000 0.0000
Ac 0.5000 0.5000 0.5000
La 0.0000 0.5000 0.0900
La 0.0000 0.5000 0.3614
La 0.0000 0.5000 0.6386
La 0.0000 0.5000 0.9100
La 0.5000 0.0000 0.1386
La 0.5000 0.0000 0.4100
La 0.5000 0.0000 0.5900
La 0.5000 0.0000 0.8614
Nd 0.0000 0.0000 0.2736
Nd 0.0000 0.0000 0.7264
Nd 0.5000 0.5000 0.2264
Nd 0.5000 0.5000 0.7736


No. 2
The following is a DFT calculation (GGA-PBE) of a relaxed structure of Er2Ga3AgPt4.

calculated density	12.609	g cm⁻³
total magnetization	0.00	μB per formula unit
N(E_F)	3.0	states/eV/f.u.
energy of formation from the pure elements	-81.6	kJ per mole of atoms

Unit cell a=3.9849 b=3.9849 c=11.8750 alpha=90.00 beta=90.00 gamma=90.00
Sites, in units of the cell vectors:
Er 0.0000 0.5000 0.2460
Er 0.5000 0.0000 0.7540
Ga 0.0000 0.0000 0.0000
Ga 0.0000 0.5000 0.6304
Ga 0.5000 0.0000 0.3696
Ag 0.5000 0.5000 0.0000
Pt 0.0000 0.0000 0.5000
Pt 0.0000 0.5000 0.8366
Pt 0.5000 0.0000 0.1634
Pt 0.5000 0.5000 0.5000


No. 3
The following is a DFT calculation (GGA-PBE) of a relaxed structure of AcCePuHg.

calculated density	11.480	g cm⁻³
total magnetization	8.52	μB per formula unit
N(E_F)	8.8	states/eV/f.u.
energy of formation from the pure elements	6.9	kJ per mole of atoms

Unit cell a=7.7729 b=7.7729 c=7.7729 alpha=90.00 beta=90.00 gamma=90.00
Sites, in units of the cell vectors:
Ac 0.0000 0.0000 0.0000
Ac 0.0000 0.5000 0.5000
Ac 0.5000 0.0000 0.5000
Ac 0.5000 0.5000 0.0000
Ce 0.2500 0.2500 0.7500
Ce 0.2500 0.7500 0.2500
Ce 0.7500 0.2500 0.2500
Ce 0.7500 0.7500 0.7500
Pu 0.0000 0.0000 0.5000
Pu 0.0000 0.5000 0.0000
Pu 0.5000 0.0000 0.0000
Pu 0.5000 0.5000 0.5000
Hg 0.2500 0.2500 0.2500
Hg 0.2500 0.7500 0.7500
Hg 0.7500 0.2500 0.7500
Hg 0.7500 0.7500 0.2500


No. 4
The following is a DFT calculation (GGA-PBE) of a relaxed structure of SrIr2.

calculated density	8.918	g cm⁻³
total magnetization	0.00	μB per formula unit
N(E_F)	2.9	states/eV/f.u.
energy of formation from the pure elements	51.6	kJ per mole of atoms

Unit cell a=8.3517 b=8.3517 c=4.3655 alpha=90.00 beta=90.00 gamma=120.00
Sites, in units of the cell vectors:
Sr 0.0000 0.0000 0.0000
Sr 0.3333 0.6667 0.5000
Sr 0.6667 0.3333 0.5000
Ir 0.0000 0.2732 0.5000
Ir 0.0000 0.3816 0.0000
Ir 0.2732 0.0000 0.5000
Ir 0.3816 0.0000 0.0000
Ir 0.6184 0.6184 0.0000
Ir 0.7268 0.7268 0.5000


No. 5
The following is a DFT calculation (GGA-PBE) of a relaxed structure of LaZr2SnN.

formation energy (no corrections)	-0.803	eV/atom
calculated density	7.043	g cm⁻³
total magnetization	0.00	μB per formula unit
N(E_F)	4.5	states/eV/f.u.

Unit cell a=4.5532 b=4.5532 c=5.1641 alpha=90.00 beta=90.00 gamma=90.00
Sites, in units of the cell vectors:
La 0.0000 0.0000 0.0000
Zr 0.0000 0.5000 0.5000
Zr 0.5000 0.0000 0.5000
Sn 0.5000 0.5000 0.0000
N 0.0000 0.0000 0.5000


No. 6
The following is a DFT calculation (GGA-PBE) of a relaxed structure of EuHfHg2.

calculated density	12.285	g cm⁻³
total magnetization	7.18	μB per formula unit
N(E_F)	6.5	states/eV/f.u.
energy of formation from the pure elements	-19.1	kJ per mole of atoms

Unit cell a=3.5640 b=3.5640 c=7.7854 alpha=90.00 beta=90.00 gamma=90.00
Sites, in units of the cell vectors:
Eu 0.0000 0.0000 0.0000
Hf 0.0000 0.0000 0.5000
Hg 0.5000 0.5000 0.2839
Hg 0.5000 0.5000 0.7161